No. 1
A plane-wave DFT calculation with PBE-GGA was carried out for a geometry-optimized Ba2Ni2W structure.

Geometry as extended XYZ:
```
10
Lattice="8.648 0.000 0.000 0.000 8.648 0.000 0.000 0.000 3.167" Properties=species:S:1:pos:R:3 pbc="T T T"
Ni 1.502 5.826 1.583
Ni 5.826 7.146 1.583
Ni 7.146 2.822 1.583
Ni 2.822 1.502 1.583
Ba 3.130 7.454 0.000
Ba 7.454 5.518 0.000
Ba 5.518 1.194 0.000
Ba 1.194 3.130 0.000
W 0.000 0.000 0.000
W 4.324 4.324 0.000
```

Calculated values
Magnetic moment, μB/atom: 0.402
SG: P4/mbm (127)

---

No. 2
A plane-wave DFT calculation with PBE-GGA was carried out for a geometry-optimized Ba2NiW structure.

Geometry as extended XYZ:
```
8
Lattice="11.820 0.000 0.000 0.000 11.820 0.000 5.910 5.910 2.312" Properties=species:S:1:pos:R:3 pbc="T T T"
Ni 5.910 5.910 0.000
Ni 5.910 11.820 1.156
Ba 6.775 2.955 0.578
Ba 5.045 8.865 0.578
Ba 8.865 10.955 1.734
Ba 14.775 12.684 1.734
W 0.000 0.000 0.000
W 11.820 5.910 1.156
```

Calculated values
Magnetic moment, μB/atom: 0.574
Energy above the lowest structure with this stoichiometry, meV/atom: 250.5
SG: I-42d (122)

---

No. 3
A plane-wave DFT calculation with PBE-GGA was carried out for a geometry-optimized Ba2NiW structure.

Geometry as extended XYZ:
```
4
Lattice="6.985 0.045 -0.027 5.944 3.669 -0.027 2.010 0.577 4.851" Properties=species:S:1:pos:R:3 pbc="T T T"
Ba 12.773 3.669 0.017
Ba 11.388 3.271 3.515
Ni 8.228 2.363 2.058
W 2.947 0.846 1.553
```

Calculated values
Magnetic moment, μB/atom: 0.000
Energy above the lowest structure with this stoichiometry, meV/atom: 60.3
SG: Imm2 (44)

---

Number 1: formation enthalpy at 0 K 1336 meV per atom, DOS at the Fermi energy 4.2 states/eV/f.u., calculated density 8.08 Mg/m³. Number 2: formation enthalpy at 0 K 951 meV per atom, DOS at the Fermi energy 3.7 states/eV/f.u., calculated density 5.32 Mg/m³. Number 3: formation enthalpy at 0 K 761 meV per atom, DOS at the Fermi energy 3.2 states/eV/f.u., calculated density 6.97 Mg/m³.